Record 1
Below is an optimized crystal structure of LiTmPaPt, with properties calculated at the PBE level.

Geometry as extended XYZ:
```
4
Lattice="0.000 3.501 3.501 3.501 0.000 3.501 3.501 3.501 0.000" Properties=species:S:1:pos:R:3 pbc="T T T"
Li 0.000 0.000 0.000
Tm 5.252 5.252 5.252
Pa 1.751 1.751 1.751
Pt 3.501 3.501 3.501
```

D(E_F) (states/eV/f.u.): 6.85
SG: No. 216
V (Å³/f.u.): 85.84
Formation enthalpy at 0 K (eV/atom): -0.318



Record 2
Below is an optimized crystal structure of CsNaSnSb2, with properties calculated at the PBE level.

Geometry as extended XYZ:
```
10
Lattice="8.008 -2.390 0.000 8.008 2.390 0.000 -1.934 0.000 11.123" Properties=species:S:1:pos:R:3 pbc="T T T"
Cs 1.872 0.000 1.862
Cs 12.210 0.000 9.261
Na 1.972 0.000 6.424
Na 12.111 0.000 4.699
Sn 6.372 0.000 3.681
Sn 7.710 0.000 7.442
Sb 0.348 0.000 9.065
Sb 5.080 0.000 6.318
Sb 9.002 0.000 4.805
Sb 13.734 0.000 2.058
```

D(E_F) (states/eV/f.u.): 1.18
SG: No. 12
V (Å³/f.u.): 212.88
Energy relative to the elements, uncorrected (eV/atom): -0.273



Record 3
Below is an optimized crystal structure of Hg2GeO4, with properties calculated at the PBE level.

Geometry as extended XYZ:
```
7
Lattice="5.665 -1.568 0.000 5.665 1.568 0.000 -2.589 0.000 5.302" Properties=species:S:1:pos:R:3 pbc="T T T"
Hg 1.432 0.000 0.782
Hg 7.310 0.000 4.520
Ge 4.371 0.000 2.651
O -0.075 0.000 2.306
O 3.745 0.000 0.889
O 4.997 0.000 4.414
O 8.817 0.000 2.996
```

D(E_F) (states/eV/f.u.): 0.21
SG: No. 12
V (Å³/f.u.): 94.19
Energy relative to the elements, uncorrected (eV/atom): -0.740



Record 4
Below is an optimized crystal structure of Rb2GaNiI6, with properties calculated at the PBE level.

Geometry as extended XYZ:
```
10
Lattice="-4.049 4.049 5.722 4.049 -4.049 5.722 4.049 4.049 -5.722" Properties=species:S:1:pos:R:3 pbc="T T T"
Rb 4.049 0.000 2.861
Rb 0.000 4.049 2.861
Ga 0.000 0.000 0.000
Ni 0.000 0.000 5.722
I 0.000 0.000 2.978
I 2.112 2.112 0.000
I 1.937 -1.937 5.722
I -1.937 1.937 5.722
I 1.937 1.937 5.722
I 0.000 0.000 8.467
```

D(E_F) (states/eV/f.u.): 1.36
SG: No. 139
V (Å³/f.u.): 375.20
Energy relative to the elements, uncorrected (eV/atom): -0.693